No. 1
Computed, not measured: a relaxed Ho2TmPb9 crystal at the GGA-PBE level of DFT.

a b c (Å): 4.869 4.869 14.601
angles (deg): 90.00 90.00 90.00
Positions (direct):
Ho  0.000  0.000  0.167
Ho  0.000  0.000  0.833
Tm  0.000  0.000  0.500
Pb  0.000  0.500  0.000
Pb  0.000  0.500  0.334
Pb  0.000  0.500  0.666
Pb  0.500  0.000  0.000
Pb  0.500  0.000  0.334
Pb  0.500  0.000  0.666
Pb  0.500  0.500  0.167
Pb  0.500  0.500  0.500
Pb  0.500  0.500  0.833

***

No. 2
Computed, not measured: a relaxed Ho2Tm4Pb crystal at the GGA-PBE level of DFT.

a b c (Å): 5.543 6.729 11.591
angles (deg): 90.00 103.24 90.00
Positions (direct):
Ho  0.019  0.250  0.481
Ho  0.287  0.750  0.062
Ho  0.713  0.250  0.938
Ho  0.981  0.750  0.519
Tm  0.154  0.011  0.791
Tm  0.154  0.489  0.791
Tm  0.281  0.250  0.084
Tm  0.406  0.750  0.355
Tm  0.594  0.250  0.645
Tm  0.719  0.750  0.916
Tm  0.846  0.511  0.209
Tm  0.846  0.989  0.209
Pb  0.457  0.250  0.356
Pb  0.543  0.750  0.644

***

No. 3
Computed, not measured: a relaxed Ho2Tm3Pb4 crystal at the GGA-PBE level of DFT.

a b c (Å): 8.477 8.477 6.772
angles (deg): 104.56 104.56 33.57
Positions (direct):
Ho  0.170  0.170  0.064
Ho  0.830  0.830  0.936
Tm  0.387  0.387  0.410
Tm  0.500  0.500  0.000
Tm  0.613  0.613  0.590
Pb  0.011  0.011  0.283
Pb  0.253  0.253  0.684
Pb  0.747  0.747  0.316
Pb  0.989  0.989  0.717

***

No. 4
Computed, not measured: a relaxed Ho3Tm2Pb2 crystal at the GGA-PBE level of DFT.

a b c (Å): 6.196 6.196 8.369
angles (deg): 106.56 106.56 42.90
Positions (direct):
Ho  0.000  0.000  0.000
Ho  0.130  0.130  0.436
Ho  0.870  0.870  0.564
Tm  0.379  0.379  0.240
Tm  0.621  0.621  0.760
Pb  0.320  0.320  0.818
Pb  0.680  0.680  0.182

***

No. 5
Computed, not measured: a relaxed HoTm3Pb3 crystal at the GGA-PBE level of DFT.

a b c (Å): 8.023 8.023 8.023
angles (deg): 68.99 68.99 68.99
Positions (direct):
Ho  0.169  0.169  0.169
Ho  0.831  0.831  0.831
Tm  0.166  0.665  0.415
Tm  0.335  0.585  0.834
Tm  0.415  0.166  0.665
Tm  0.585  0.834  0.335
Tm  0.665  0.415  0.166
Tm  0.834  0.335  0.585
Pb  0.028  0.412  0.813
Pb  0.187  0.972  0.588
Pb  0.412  0.813  0.028
Pb  0.588  0.187  0.972
Pb  0.813  0.028  0.412
Pb  0.972  0.588  0.187

***

No. 6
Computed, not measured: a relaxed Ho5Tm2Pb4 crystal at the GGA-PBE level of DFT.

a b c (Å): 12.447 12.447 7.916
angles (deg): 92.88 92.88 15.91
Positions (direct):
Ho  0.000  0.000  0.000
Ho  0.266  0.266  0.188
Ho  0.359  0.359  0.866
Ho  0.641  0.641  0.134
Ho  0.734  0.734  0.812
Tm  0.407  0.407  0.284
Tm  0.593  0.593  0.716
Pb  0.180  0.180  0.482
Pb  0.464  0.464  0.657
Pb  0.536  0.536  0.343
Pb  0.820  0.820  0.518

***

No. 7
Computed, not measured: a relaxed HoTm3Pb2 crystal at the GGA-PBE level of DFT.

a b c (Å): 8.245 8.245 4.378
angles (deg): 90.00 90.00 145.56
Positions (direct):
Ho  0.000  0.000  0.000
Tm  0.174  0.826  0.500
Tm  0.500  0.500  0.500
Tm  0.826  0.174  0.500
Pb  0.348  0.652  0.000
Pb  0.652  0.348  0.000

***

No. 8
Computed, not measured: a relaxed Ho2Tm6Pb crystal at the GGA-PBE level of DFT.

a b c (Å): 8.532 8.532 11.504
angles (deg): 124.62 124.62 23.64
Positions (direct):
Ho  0.171  0.171  0.325
Ho  0.829  0.829  0.675
Tm  0.111  0.111  0.552
Tm  0.274  0.274  0.891
Tm  0.448  0.448  0.246
Tm  0.552  0.552  0.754
Tm  0.726  0.726  0.109
Tm  0.889  0.889  0.448
Pb  0.500  0.500  0.000

***

No. 9
Computed, not measured: a relaxed Ho3Tm4Pb4 crystal at the GGA-PBE level of DFT.

a b c (Å): 9.958 9.958 9.958
angles (deg): 156.14 123.99 61.73
Positions (direct):
Ho  0.000  0.000  0.000
Ho  0.392  0.892  0.500
Ho  0.608  0.108  0.500
Tm  0.024  0.330  0.694
Tm  0.364  0.670  0.694
Tm  0.636  0.330  0.306
Tm  0.976  0.670  0.306
Pb  0.253  0.253  0.000
Pb  0.291  0.500  0.791
Pb  0.709  0.500  0.209
Pb  0.747  0.747  0.000

***

No. 10
Computed, not measured: a relaxed HoTm2Pb4 crystal at the GGA-PBE level of DFT.

a b c (Å): 9.628 9.628 9.628
angles (deg): 151.07 150.89 41.51
Positions (direct):
Ho  0.000  0.000  0.000
Tm  0.244  0.244  0.000
Tm  0.756  0.756  0.000
Pb  0.122  0.622  0.500
Pb  0.378  0.878  0.500
Pb  0.622  0.122  0.500
Pb  0.878  0.378  0.500

***

No. 11
Computed, not measured: a relaxed Ho2TmPb3 crystal at the GGA-PBE level of DFT.

a b c (Å): 7.587 7.587 6.332
angles (deg): 90.00 90.00 100.37
Positions (direct):
Ho  0.049  0.313  0.000
Ho  0.313  0.049  0.500
Ho  0.687  0.951  0.000
Ho  0.951  0.687  0.500
Tm  0.366  0.634  0.261
Tm  0.634  0.366  0.761
Pb  0.044  0.306  0.505
Pb  0.306  0.044  0.005
Pb  0.350  0.650  0.759
Pb  0.650  0.350  0.259
Pb  0.694  0.956  0.505
Pb  0.956  0.694  0.005

***

No. 12
Computed, not measured: a relaxed Ho4Tm5Pb2 crystal at the GGA-PBE level of DFT.

a b c (Å): 15.467 15.467 15.467
angles (deg): 19.56 19.56 19.56
Positions (direct):
Ho  0.072  0.072  0.072
Ho  0.226  0.226  0.226
Ho  0.774  0.774  0.774
Ho  0.928  0.928  0.928
Tm  0.000  0.000  0.000
Tm  0.148  0.148  0.148
Tm  0.303  0.303  0.303
Tm  0.697  0.697  0.697
Tm  0.852  0.852  0.852
Pb  0.380  0.380  0.380
Pb  0.620  0.620  0.620

***

| no. | uncorrected energy (eV per atom) |
| --- | --- |
| 1 | -4.161 |
| 2 | -4.435 |
| 3 | -4.540 |
| 4 | -4.581 |
| 5 | -4.469 |
| 6 | -4.328 |
| 7 | -4.565 |
| 8 | -4.446 |
| 9 | -4.526 |
| 10 | -4.361 |
| 11 | -4.380 |
| 12 | -4.149 |